Model one:
Na2HPb: optimized geometry, PBE.

```
Na2HPb
1.0
-1.969 -1.985 2.069
1.196 -0.990 3.112
-3.504 5.774 5.128
Na H Pb
2 1 1
Cartesian
-3.477 2.660 8.013
-0.800 0.139 2.295
0.000 0.000 0.000
-2.138 1.400 5.154
```

The space group is R-3m.

Model two:
Na2HPb: optimized geometry, PBE.

```
Na2HPb
1.0
3.570 0.126 -0.043
1.895 3.029 -0.043
1.720 0.993 8.246
Pb Na H
1 2 1
Cartesian
3.510 2.027 4.085
1.808 1.044 1.375
1.796 1.037 6.836
3.663 2.115 -0.056
```

The space group is Cm.

On energetic grounds, model one is preferred over the next structure by 7 meV per atom.

Model one:
NaHPb2: optimized geometry, PBE.

```
NaHPb2
1.0
0.000 3.590 3.590
3.590 0.000 3.590
3.590 3.590 0.000
H Pb Na
1 2 1
Cartesian
0.000 0.000 0.000
1.795 1.795 1.795
5.385 5.385 5.385
3.590 3.590 3.590
```

The space group is Fm-3m.

Model two:
NaHPb2: optimized geometry, PBE.

```
NaHPb2
1.0
8.141 0.000 0.000
0.000 8.141 0.000
4.070 4.070 2.900
Pb Na H
4 2 2
Cartesian
5.232 2.035 0.725
10.176 9.302 2.175
2.909 6.105 0.725
6.105 6.979 2.175
0.000 0.000 0.000
8.141 4.070 1.450
4.070 4.070 0.000
4.070 8.141 1.450
```

The space group is I-42d.

On energetic grounds, model two is preferred over the next structure by 281 meV per atom.